# 1
VASP calculation (PBE) on an optimized crystal structure of AuNO2F.

The calculation puts the mass density at 6.2 g cm⁻³. For the uncorrected formation energy, the calculation gives 1270 meV/atom. The volume comes out at 14.10 A^3/atom.

The space group is P4/mmm (No. 123) and the conventional cell measures 4.0126, 4.0126 and 4.3800 Å, with angles of 90.00, 90.00 and 90.00 degrees. The inequivalent atoms are Au at (0.0000, 0.0000, 0.0000), N at (0.5000, 0.5000, 0.5000), O at (0.0000, 0.5000, 0.0000) and F at (0.0000, 0.0000, 0.5000).

***

# 2
VASP calculation (PBE) on an optimized crystal structure of AuN2OF.

The calculation puts the mass density at 6.8 g cm⁻³. For the uncorrected formation energy, the calculation gives 1966 meV/atom. The volume comes out at 12.75 A^3/atom.

The space group is P4/mmm (No. 123) and the conventional cell measures 3.4776, 3.4776 and 5.2708 Å, with angles of 90.00, 90.00 and 90.00 degrees. The inequivalent atoms are Au at (0.0000, 0.0000, 0.0000), N at (0.0000, 0.5000, 0.5000), O at (0.5000, 0.5000, 0.5000) and F at (0.5000, 0.5000, 0.0000).

***

# 3
VASP calculation (PBE) on an optimized crystal structure of AuNO2F.

The calculation puts the mass density at 8.5 g cm⁻³. For the uncorrected formation energy, the calculation gives 1246 meV/atom. The volume comes out at 10.25 A^3/atom.

The space group is P4/mmm (No. 123) and the conventional cell measures 3.7905, 3.7905 and 3.5681 Å, with angles of 90.00, 90.00 and 90.00 degrees. The inequivalent atoms are Au at (0.0000, 0.0000, 0.0000), N at (0.5000, 0.5000, 0.5000), O at (0.0000, 0.5000, 0.5000) and F at (0.5000, 0.5000, 0.0000).

***

# 4
VASP calculation (PBE) on an optimized crystal structure of AuN2OF.

The calculation puts the mass density at 6.9 g cm⁻³. For the uncorrected formation energy, the calculation gives 2406 meV/atom. The volume comes out at 12.44 A^3/atom.

The space group is P4/mmm (No. 123) and the conventional cell measures 3.5153, 3.5153 and 5.0339 Å, with angles of 90.00, 90.00 and 90.00 degrees. The inequivalent atoms are Au at (0.0000, 0.0000, 0.0000), N at (0.0000, 0.5000, 0.5000), O at (0.5000, 0.5000, 0.0000) and F at (0.5000, 0.5000, 0.5000).

***

# 5
VASP calculation (PBE) on an optimized crystal structure of AuNO2F.

The calculation puts the mass density at 7.2 g cm⁻³. For the uncorrected formation energy, the calculation gives 2013 meV/atom. The volume comes out at 12.10 A^3/atom.

The space group is P4/mmm (No. 123) and the conventional cell measures 4.1876, 4.1876 and 3.4511 Å, with angles of 90.00, 90.00 and 90.00 degrees. The inequivalent atoms are Au at (0.0000, 0.0000, 0.0000), N at (0.5000, 0.5000, 0.0000), O at (0.0000, 0.5000, 0.5000) and F at (0.5000, 0.5000, 0.5000).

***

# 6
VASP calculation (PBE) on an optimized crystal structure of OsAuN2F.

The calculation puts the mass density at 10.5 g cm⁻³. For the uncorrected formation energy, the calculation gives 2226 meV/atom. The volume comes out at 13.79 A^3/atom. The calculation puts the relative energy among the computed polymorphs at 1611 meV per atom.

The space group is P4/mmm (No. 123) and the conventional cell measures 4.0876, 4.0876 and 4.1267 Å, with angles of 90.00, 90.00 and 90.00 degrees. The inequivalent atoms are Os at (0.0000, 0.0000, 0.0000), Au at (0.5000, 0.5000, 0.5000), N at (0.0000, 0.5000, 0.5000) and F at (0.5000, 0.5000, 0.0000).

***

# 7
VASP calculation (PBE) on an optimized crystal structure of OsAuN2F.

The calculation puts the mass density at 11.1 g cm⁻³. For the uncorrected formation energy, the calculation gives 615 meV/atom. The volume comes out at 12.97 A^3/atom. The calculation puts the relative energy among the computed polymorphs at 0 meV per atom.

The space group is P4/mmm (No. 123) and the conventional cell measures 3.8361, 3.8361 and 4.4063 Å, with angles of 90.00, 90.00 and 90.00 degrees. The inequivalent atoms are Os at (0.0000, 0.0000, 0.0000), Au at (0.5000, 0.5000, 0.5000), N at (0.0000, 0.5000, 0.0000) and F at (0.0000, 0.0000, 0.5000).

***

# 8
VASP calculation (PBE) on an optimized crystal structure of PAuNF2.

The calculation puts the mass density at 6.0 g cm⁻³. For the uncorrected formation energy, the calculation gives 768 meV/atom. The volume comes out at 15.60 A^3/atom. The calculation puts the relative energy among the computed polymorphs at 875 meV per atom.

The space group is P4/mmm (No. 123) and the conventional cell measures 4.3514, 4.3514 and 4.1197 Å, with angles of 90.00, 90.00 and 90.00 degrees. The inequivalent atoms are P at (0.0000, 0.0000, 0.0000), Au at (0.5000, 0.5000, 0.5000), N at (0.5000, 0.5000, 0.0000) and F at (0.0000, 0.5000, 0.5000).

***

Copy entry 3 word for word.
VASP calculation (PBE) on an optimized crystal structure of AuNO2F.

The calculation puts the mass density at 8.5 g cm⁻³. For the uncorrected formation energy, the calculation gives 1246 meV/atom. The volume comes out at 10.25 A^3/atom.

The space group is P4/mmm (No. 123) and the conventional cell measures 3.7905, 3.7905 and 3.5681 Å, with angles of 90.00, 90.00 and 90.00 degrees. The inequivalent atoms are Au at (0.0000, 0.0000, 0.0000), N at (0.5000, 0.5000, 0.5000), O at (0.0000, 0.5000, 0.5000) and F at (0.5000, 0.5000, 0.0000).